Computed, not measured: crystalline Pr3Sb5Te12 at its relaxed geometry at the PBE level of DFT.

- Raw total energy: -4.108 eV per atom
- Symmetry: Ia-3d, No. 230
- Formation energy (no corrections): -0.4752 eV per atom

Unit cell a=15.889 b=15.889 c=15.889 alpha=109.47 beta=109.47 gamma=109.47
Sites, in units of the cell vectors:
Pr 0.125 0.250 0.375
Pr 0.125 0.375 0.750
Pr 0.250 0.375 0.125
Pr 0.250 0.875 0.625
Pr 0.375 0.125 0.250
Pr 0.375 0.750 0.125
Pr 0.625 0.250 0.875
Pr 0.625 0.875 0.750
Pr 0.750 0.125 0.375
Pr 0.750 0.625 0.875
Pr 0.875 0.625 0.250
Pr 0.875 0.750 0.625
Sb 0.000 0.000 0.000
Sb 0.000 0.000 0.500
Sb 0.000 0.500 0.000
Sb 0.000 0.500 0.500
Sb 0.125 0.750 0.875
Sb 0.125 0.875 0.250
Sb 0.250 0.125 0.875
Sb 0.250 0.625 0.375
Sb 0.375 0.250 0.625
Sb 0.375 0.625 0.750
Sb 0.500 0.000 0.000
Sb 0.500 0.000 0.500
Sb 0.500 0.500 0.000
Sb 0.500 0.500 0.500
Sb 0.625 0.375 0.250
Sb 0.625 0.750 0.375
Sb 0.750 0.375 0.625
Sb 0.750 0.875 0.125
Sb 0.875 0.125 0.750
Sb 0.875 0.250 0.125
Te 0.051 0.220 0.137
Te 0.051 0.331 0.914
Te 0.083 0.720 0.669
Te 0.083 0.863 0.414
Te 0.086 0.637 0.417
Te 0.086 0.949 0.669
Te 0.137 0.051 0.220
Te 0.137 0.586 0.917
Te 0.169 0.220 0.583
Te 0.169 0.449 0.586
Te 0.220 0.137 0.051
Te 0.220 0.583 0.169
Te 0.280 0.331 0.917
Te 0.280 0.449 0.363
Te 0.331 0.914 0.051
Te 0.331 0.917 0.280
Te 0.363 0.280 0.449
Te 0.363 0.583 0.914
Te 0.414 0.083 0.863
Te 0.414 0.831 0.551
Te 0.417 0.086 0.637
Te 0.417 0.831 0.780
Te 0.449 0.363 0.280
Te 0.449 0.586 0.169
Te 0.551 0.414 0.831
Te 0.551 0.637 0.720
Te 0.583 0.169 0.220
Te 0.583 0.914 0.363
Te 0.586 0.169 0.449
Te 0.586 0.917 0.137
Te 0.637 0.417 0.086
Te 0.637 0.720 0.551
Te 0.669 0.083 0.720
Te 0.669 0.086 0.949
Te 0.720 0.551 0.637
Te 0.720 0.669 0.083
Te 0.780 0.417 0.831
Te 0.780 0.863 0.949
Te 0.831 0.551 0.414
Te 0.831 0.780 0.417
Te 0.863 0.414 0.083
Te 0.863 0.949 0.780
Te 0.914 0.051 0.331
Te 0.914 0.363 0.583
Te 0.917 0.137 0.586
Te 0.917 0.280 0.331
Te 0.949 0.669 0.086
Te 0.949 0.780 0.863